(w)
6
Lattice="-0.513 1.789 -3.474 -5.623 -9.407 -1.767 -3.055 1.585 1.267" Properties=species:S:1:pos:R:3 comment="SrHfBe | Alexandria | GGA-PBE | relaxed" sg=P1 dos_ef_per_ev_atom=0.9382 pbc="T T T"
Be -3.611 -0.496 -0.149
Sr -5.315 -2.970 -1.163
Sr -5.371 -7.333 -1.162
Hf -2.654 -0.852 -2.706
Be -1.465 -0.393 -0.412
Hf -2.931 1.750 -1.327

***

(x)
6
Lattice="3.833 0.595 -0.148 1.401 3.616 0.001 2.254 1.206 12.088" Properties=species:S:1:pos:R:3 comment="SrHfBe | Alexandria | GGA-PBE | relaxed" sg=R3m dos_ef_per_ev_atom=0.6548 pbc="T T T"
Be 5.173 4.541 11.721
Sr 3.178 3.230 5.799
Hf 1.310 1.877 2.945
Sr 5.424 2.366 9.407
Hf 3.314 1.103 0.847
Be 3.431 3.136 11.807

***

(w) has the most favorable energy; the next structure is 143 meV per atom above.

***

(w)
5
Lattice="-0.053 -2.379 4.283 2.500 -3.697 -2.023 4.214 2.164 1.254" Properties=species:S:1:pos:R:3 comment="SrHfBe3 | Alexandria | GGA-PBE | relaxed" sg=Pm-3m dos_ef_per_ev_atom=1.4012 pbc="T T T"
Be 2.107 1.082 0.627
Be 1.250 -1.848 -1.011
Hf 0.000 0.000 0.000
Sr 3.331 -1.956 1.757
Be -0.026 -1.190 2.142

***

(x)
5
Lattice="-2.338 -0.256 3.937 -1.992 -3.874 -1.434 3.406 -2.441 1.864" Properties=species:S:1:pos:R:3 comment="SrHfBe3 | Alexandria | GGA-PBE | relaxed" sg=Pm-3m dos_ef_per_ev_atom=0.5322 pbc="T T T"
Be -1.169 -0.128 1.969
Be -0.996 -1.937 -0.717
Hf -0.462 -3.285 2.183
Be 1.703 -1.221 0.932
Sr 0.000 0.000 0.000

***

(w) has the most favorable energy; the next structure is 927 meV per atom above.